A relaxed KFeF4 crystal. Source: Alexandria, functional GGA+U.

```
KFeF4
1.0
7.7101 0.0000 0.0000
0.0000 7.9111 0.0000
0.0000 0.0000 12.4649
K Fe F
8 8 32
Direct
0.7500 0.3758 0.0257
0.2500 0.3769 0.4855
0.7500 0.8769 0.0145
0.2500 0.6242 0.9743
0.2500 0.8758 0.4743
0.7500 0.1242 0.5257
0.7500 0.6231 0.5145
0.2500 0.1231 0.9855
0.0006 0.6270 0.2484
0.9994 0.1270 0.2516
0.9994 0.3730 0.7516
0.5006 0.3730 0.7516
0.4994 0.8730 0.7484
0.5006 0.1270 0.2516
0.4994 0.6270 0.2484
0.0006 0.8730 0.7484
0.0371 0.8770 0.2528
0.4496 0.6185 0.3979
0.0371 0.6230 0.7528
0.4516 0.3657 0.9013
0.5484 0.8657 0.5987
0.7500 0.4061 0.7899
0.9496 0.3815 0.6021
0.4629 0.6230 0.7528
0.7500 0.8400 0.7852
0.0504 0.6185 0.3979
0.5504 0.1185 0.1021
0.5371 0.3770 0.2472
0.5504 0.3815 0.6021
0.9496 0.1185 0.1021
0.5484 0.6343 0.0987
0.4516 0.1343 0.4013
0.0504 0.8815 0.8979
0.2500 0.9061 0.7101
0.9516 0.6343 0.0987
0.7500 0.6600 0.2852
0.2500 0.3400 0.7148
0.9629 0.3770 0.2472
0.5371 0.1230 0.7472
0.9516 0.8657 0.5987
0.4496 0.8815 0.8979
0.4629 0.8770 0.2528
0.0484 0.1343 0.4013
0.2500 0.1600 0.2148
0.9629 0.1230 0.7472
0.2500 0.5939 0.2101
0.7500 0.0939 0.2899
0.0484 0.3657 0.9013
```

Results
space group	Pnma (62)
final energy	-5.03	eV/atom
magnetic moment	40.00	Bohr magnetons per cell